(1)
Entry from Alexandria via LeMat-Bulk: a relaxed structure of YHgHCl2 (GGA-PBEsol).

a = 5.091 Å, b = 5.091 Å, c = 5.771 Å
α = 90.00°, β = 90.00°, γ = 90.00°
Fractional coordinates of all 5 atoms:
1 Y 0.000 0.000 0.000
2 Hg 0.000 0.000 0.500
3 H 0.500 0.500 0.000
4 Cl 0.000 0.500 0.500
5 Cl 0.500 0.000 0.500

electronic total energy = -0.193 Ry per atom
SG = No. 123

=====

(2)
Entry from Alexandria via LeMat-Bulk: a relaxed structure of MgSbBr2 (GGA-PBEsol).

a = 3.498 Å, b = 4.685 Å, c = 6.083 Å
α = 90.00°, β = 90.00°, γ = 90.00°
Fractional coordinates of all 4 atoms:
1 Mg 0.000 0.000 0.000
2 Sb 0.500 0.000 0.500
3 Br 0.000 0.500 0.500
4 Br 0.500 0.500 0.000

uncorrected formation energy = -0.39 eV/atom
SG = No. 47

=====

| no. | DOS(E_F) (states/eV/atom) |
| --- | --- |
| 1 | 0.357 |
| 2 | 0.364 |